1.
Material: Cs2Tl2Br7
Method: DFT, GGA-PBE
State: optimized geometry

Values from the calculation:
**E above lowest polymorph**: 4.3 meV per atom
**Magnetic moment**: 0.00 μB/cell
**Volume**: 52.6 Å³ per atom
**Energy**: -28.86 eV per cell
**ΔE_f (raw)**: -0.97 eV/atom

```
Cs2Tl2Br7
1.0
-0.901 -3.638 5.837
-6.514 -4.326 -5.160
8.006 -4.025 -2.732
Br Tl Cs
7 2 2
Direct
0.750 0.895 0.585 Br
0.795 0.393 0.393 Br
0.250 0.105 0.415 Br
0.250 0.415 0.105 Br
0.750 0.585 0.895 Br
0.500 0.000 0.000 Br
0.205 0.607 0.607 Br
0.551 0.765 0.765 Tl
0.449 0.235 0.235 Tl
0.000 0.722 0.278 Cs
0.000 0.278 0.722 Cs
```

***

2.
Material: La3MgO
Method: DFT, GGA-PBE
State: optimized geometry

Values from the calculation:
**E above lowest polymorph**: 306.5 meV per atom
**Magnetic moment**: 0.01 μB/cell
**Volume**: 31.9 Å³ per atom
**Energy**: -25.84 eV per cell
**ΔE_f (raw)**: -0.90 eV/atom

```
La3MgO
1.0
5.788 0.000 1.831
-2.894 5.013 1.831
-2.894 -5.013 1.831
Mg La O
1 3 1
Direct
0.558 0.558 0.558 Mg
0.916 0.916 0.290 La
0.916 0.290 0.916 La
0.290 0.916 0.916 La
0.196 0.196 0.196 O
```